(1)
A relaxed structure of BaPa2OsN5. Source: the Alexandria database, functional PBE.

Cell: 6.716 6.716 11.877 Å, 90.00 90.00 90.00°
Space group I4/mcm (No. 140)
Inequivalent atoms, fractional coordinates:
Ba 0.000 0.000 0.250 x4
Pa 0.188 0.312 0.000 x8
Os 0.000 0.500 0.250 x4
N 0.000 0.000 0.000 x4
N 0.136 0.364 0.375 x16

Summary:
- Uncorrected formation energy: -0.99 eV per atom

=====

(2)
A relaxed structure of BaPa4Os3N12. Source: the Alexandria database, functional PBE.

Cell: 8.279 8.279 8.279 Å, 90.00 90.00 90.00°
Space group Im-3 (No. 204)
Inequivalent atoms, fractional coordinates:
Ba 0.000 0.000 0.000 x2
Pa 0.250 0.250 0.250 x8
Os 0.000 0.000 0.500 x6
N 0.000 0.324 0.162 x24

Summary:
- Uncorrected formation energy: -0.48 eV per atom

=====

(3)
A relaxed structure of Ba2PaOsN4. Source: the Alexandria database, functional PBE.

Cell: 6.290 6.290 7.572 Å, 90.00 90.00 90.00°
Space group I-4 (No. 82)
Inequivalent atoms, fractional coordinates:
Ba 0.000 0.000 0.000 x2
Ba 0.000 0.500 0.250 x2
Pa 0.000 0.500 0.750 x2
Os 0.000 0.000 0.500 x2
N 0.148 0.740 0.579 x8

Summary:
- Uncorrected formation energy: -0.49 eV per atom

=====

(4)
A relaxed structure of BaPaOsN4. Source: the Alexandria database, functional PBE.

Cell: 6.101 5.609 7.409 Å, 90.00 106.86 90.00°
Space group P2_1/m (No. 11)
Inequivalent atoms, fractional coordinates:
Ba 0.220 0.250 0.446 x2
Pa 0.295 0.250 0.974 x2
Os 0.249 0.750 0.168 x2
N 0.046 0.750 0.932 x2
N 0.068 0.750 0.325 x2
N 0.498 0.019 0.810 x4

Summary:
- Uncorrected formation energy: -0.58 eV per atom

=====

(5)
A relaxed structure of Ba2OsPdN. Source: the Alexandria database, functional PBE.

Cell: 5.819 5.819 3.784 Å, 90.00 90.00 90.00°
Space group P4/mmm (No. 123)
Inequivalent atoms, fractional coordinates:
Ba 0.000 0.500 0.000 x2
Os 0.000 0.000 0.500 x1
Pd 0.500 0.500 0.500 x1
N 0.000 0.000 0.000 x1

Summary:
- Uncorrected formation energy: -0.27 eV per atom

=====

(6)
A relaxed structure of BaPm2OsN4. Source: the Alexandria database, functional PBE.

Cell: 3.588 12.568 12.432 Å, 90.00 90.00 90.00°
Space group Cmcm (No. 63)
Inequivalent atoms, fractional coordinates:
Ba 0.000 0.068 0.250 x4
Pm 0.000 0.370 0.041 x8
Os 0.000 0.193 0.750 x4
N 0.000 0.000 0.000 x4
N 0.000 0.256 0.612 x8
N 0.000 0.383 0.250 x4

Summary:
- Uncorrected formation energy: -0.76 eV per atom